No. 1
# PBE LaPr2Bi, relaxed
data_LaPr2Bi
_chemical_formula_sum 'La1 Pr2 Bi1'
_cell_length_a 5.0847
_cell_length_b 5.0847
_cell_length_c 4.9856
_cell_angle_alpha 90.00
_cell_angle_beta 90.00
_cell_angle_gamma 90.00
_space_group_name_H-M_alt 'P 4/m m m'
_space_group_IT_number 123
_space_group_name_Hall '-P 4 2'
loop_
_atom_site_label
_atom_site_type_symbol
_atom_site_fract_x
_atom_site_fract_y
_atom_site_fract_z
La1 La 0.0000 0.0000 0.0000
Pr1 Pr 0.0000 0.5000 0.5000
Bi1 Bi 0.5000 0.5000 0.0000
# Energy (eV/atom): -5.06
# Crystal system: tetragonal
# E_form (eV/f.u.): -1.9
# Mass density (g/cm3): 8.1
# Offset from the most stable computed form (eV/atom): 0.0000
# Total magnetic moment (μB/cell): 0.00



No. 2
# PBE Y2TaTe, relaxed
data_Y2TaTe
_chemical_formula_sum 'Y4 Ta2 Te2'
_cell_length_a 10.2895
_cell_length_b 3.6213
_cell_length_c 5.5835
_cell_angle_alpha 90.00
_cell_angle_beta 103.99
_cell_angle_gamma 90.00
_space_group_name_H-M_alt 'C 1 2/m 1'
_space_group_IT_number 12
_space_group_name_Hall '-C 2y'
loop_
_atom_site_label
_atom_site_type_symbol
_atom_site_fract_x
_atom_site_fract_y
_atom_site_fract_z
Y1 Y 0.2421 0.0000 0.2409
Ta1 Ta 0.0000 0.0000 0.5000
Te1 Te 0.0000 0.5000 0.0000
# Formation energy without anion corrections (eV/f.u.): 0.1
# Energy (eV/atom): -6.95
# Crystal system: monoclinic
# Mass density (g/cm3): 8.0
# Total magnetic moment (μB/cell): 0.00



No. 3
# PBE CeSbS3, relaxed
data_CeSbS3
_chemical_formula_sum 'Ce2 Sb2 S6'
_cell_length_a 7.1183
_cell_length_b 4.2645
_cell_length_c 10.6928
_cell_angle_alpha 90.00
_cell_angle_beta 101.61
_cell_angle_gamma 90.00
_space_group_name_H-M_alt 'P 1 21/m 1'
_space_group_IT_number 11
_space_group_name_Hall '-P 2yb'
loop_
_atom_site_label
_atom_site_type_symbol
_atom_site_fract_x
_atom_site_fract_y
_atom_site_fract_z
Ce1 Ce 0.2496 0.2500 0.0762
Sb1 Sb 0.3799 0.2500 0.6341
S1 S 0.0391 0.7500 0.1353
S2 S 0.4172 0.2500 0.3614
S3 S 0.4701 0.2500 0.8757
# Formation energy without anion corrections (eV/f.u.): -5.4
# Energy (eV/atom): -5.57
# Crystal system: monoclinic
# Mass density (g/cm3): 3.7
# Offset from the most stable computed form (eV/atom): 0.0000
# Total magnetic moment (μB/cell): 1.04



No. 4
# PBE GaH3NF3, relaxed
data_GaH3NF3
_chemical_formula_sum 'Ga4 H12 N4 F12'
_cell_length_a 5.5484
_cell_length_b 5.5349
_cell_length_c 9.8626
_cell_angle_alpha 90.00
_cell_angle_beta 90.00
_cell_angle_gamma 90.00
_space_group_name_H-M_alt 'A e m 2'
_space_group_IT_number 39
_space_group_name_Hall 'A 2 -2b'
loop_
_atom_site_label
_atom_site_type_symbol
_atom_site_fract_x
_atom_site_fract_y
_atom_site_fract_z
Ga1 Ga 0.2494 0.2500 0.0000
H1 H 0.2135 0.0994 0.2435
H2 H 0.4702 0.2500 0.2290
N1 N 0.2910 0.2500 0.2008
F1 F 0.0000 0.0000 0.0146
F2 F 0.2190 0.2500 0.8112
F3 F 0.5000 0.0000 0.4832
# Energy (eV/atom): -4.96
# Crystal system: orthorhombic
# Mass density (g/cm3): 3.2
# Total magnetic moment (μB/cell): 0.00



No. 5
# PBE ReOsW4, relaxed
data_ReOsW4
_chemical_formula_sum 'Re4 Os4 W16'
_cell_length_a 7.3045
_cell_length_b 7.3045
_cell_length_c 7.3045
_cell_angle_alpha 90.00
_cell_angle_beta 90.00
_cell_angle_gamma 90.00
_space_group_name_H-M_alt 'F -4 3 m'
_space_group_IT_number 216
_space_group_name_Hall 'F -4 2 3'
loop_
_atom_site_label
_atom_site_type_symbol
_atom_site_fract_x
_atom_site_fract_y
_atom_site_fract_z
Re1 Re 0.0000 0.0000 0.0000
Os1 Os 0.2500 0.2500 0.2500
W1 W 0.1254 0.1254 0.6254
# Energy (eV/atom): -12.09
# Crystal system: cubic
# E_form (eV/f.u.): 3.0
# Mass density (g/cm3): 18.9
# Total magnetic moment (μB/cell): 0.00



No. 6
# PBE Ce2CoGe4Rh3, relaxed
data_Ce2CoGe4Rh3
_chemical_formula_sum 'Ce2 Co1 Ge4 Rh3'
_cell_length_a 4.1953
_cell_length_b 4.1953
_cell_length_c 10.1425
_cell_angle_alpha 90.00
_cell_angle_beta 90.00
_cell_angle_gamma 90.00
_space_group_name_H-M_alt 'P -4 m 2'
_space_group_IT_number 115
_space_group_name_Hall 'P -4 -2'
loop_
_atom_site_label
_atom_site_type_symbol
_atom_site_fract_x
_atom_site_fract_y
_atom_site_fract_z
Ce1 Ce 0.0000 0.5000 0.2484
Co1 Co 0.0000 0.0000 0.5000
Ge1 Ge 0.0000 0.0000 0.0000
Ge2 Ge 0.0000 0.5000 0.6258
Ge3 Ge 0.5000 0.5000 0.0000
Rh1 Rh 0.0000 0.5000 0.8676
Rh2 Rh 0.5000 0.5000 0.5000
# Energy (eV/atom): -6.71
# Crystal system: tetragonal
# E_form (eV/f.u.): -7.6
# Mass density (g/cm3): 8.7
# Total magnetic moment (μB/cell): 0.87



Question: What is the formula in the first record?
Answer: LaPr2Bi



Question: What is the formula in the fourth record?
Answer: GaH3NF3



What did the third record say?
# PBE CeSbS3, relaxed
data_CeSbS3
_chemical_formula_sum 'Ce2 Sb2 S6'
_cell_length_a 7.1183
_cell_length_b 4.2645
_cell_length_c 10.6928
_cell_angle_alpha 90.00
_cell_angle_beta 101.61
_cell_angle_gamma 90.00
_space_group_name_H-M_alt 'P 1 21/m 1'
_space_group_IT_number 11
_space_group_name_Hall '-P 2yb'
loop_
_atom_site_label
_atom_site_type_symbol
_atom_site_fract_x
_atom_site_fract_y
_atom_site_fract_z
Ce1 Ce 0.2496 0.2500 0.0762
Sb1 Sb 0.3799 0.2500 0.6341
S1 S 0.0391 0.7500 0.1353
S2 S 0.4172 0.2500 0.3614
S3 S 0.4701 0.2500 0.8757
# Formation energy without anion corrections (eV/f.u.): -5.4
# Energy (eV/atom): -5.57
# Crystal system: monoclinic
# Mass density (g/cm3): 3.7
# Offset from the most stable computed form (eV/atom): 0.0000
# Total magnetic moment (μB/cell): 1.04